VASP calculation (PBE) on an optimized crystal structure of TiCuSe3.

Structure (extended XYZ):
```
5
Lattice="4.9319 0.0000 0.0000 0.0000 4.9319 0.0000 0.0000 0.0000 4.9319" Properties=species:S:1:pos:R:3 pbc="T T T"
Ti 0.0000 0.0000 0.0000
Se 0.0000 0.0000 2.4659
Se 2.4659 0.0000 0.0000
Se 0.0000 2.4659 0.0000
Cu 2.4659 2.4659 2.4659
```

## Properties
Space-group type: No. 221
Crystal system: cubic
ΔE_f (raw) in eV/atom: 0.00
Offset from the most stable computed form in meV/atom: 529.9

VASP calculation (PBE) on an optimized crystal structure of Nd4Y2Sc.

Structure (extended XYZ):
```
14
Lattice="11.9963 -3.0671 -1.5459 -9.3879 8.0738 -1.5459 0.0182 0.0350 6.7708" Properties=species:S:1:pos:R:3 pbc="T T T"
Y -7.3719 7.1879 1.4438
Y -1.9085 4.6330 -1.4376
Y 4.8996 1.1083 1.9478
Y 10.1243 -1.9051 4.8291
Sc -1.3842 3.8644 1.8696
Sc 3.9511 1.0625 -1.5158
Nd 3.6573 4.1366 3.1668
Nd 1.2853 5.3501 -0.2186
Nd 7.2983 0.0319 -0.8822
Nd -5.1046 6.1346 -0.9931
Nd 7.9616 -0.6505 2.3923
Nd 1.5824 2.1008 0.9984
Nd 0.8242 2.5180 4.3838
Nd -4.1471 6.0171 2.5032
```

## Properties
Formation enthalpy at 0 K in eV per atom: 0.0725
Space-group type: No. 43
Crystal system: orthorhombic
Offset from the most stable computed form in meV/atom: 0.0

VASP calculation (PBE) on an optimized crystal structure of YAgP2.

Structure (extended XYZ):
```
4
Lattice="4.1345 -0.0175 0.0320 2.1119 3.5544 0.0320 1.6863 0.9548 5.5455" Properties=species:S:1:pos:R:3 pbc="T T T"
Y 5.9495 3.3688 4.2072
P 0.0601 0.0341 0.1014
P 3.9062 2.2118 2.7033
Ag 1.9832 1.1229 1.4024
```

## Properties
Formation enthalpy at 0 K in eV per atom: -0.3962
Space-group type: No. 12
Crystal system: monoclinic

VASP calculation (PBE) on an optimized crystal structure of ReAsH3.

Structure (extended XYZ):
```
5
Lattice="-1.8040 -3.0235 -0.1970 2.4986 -1.6141 1.8938 -1.7140 0.8292 2.9681" Properties=species:S:1:pos:R:3 pbc="T T T"
H 1.2493 -0.8071 0.9469
H -0.8570 0.4146 1.4840
H -0.9020 -1.5118 -0.0985
As 0.0000 0.0000 0.0000
Re -0.5097 -1.9042 2.3324
```

## Properties
Space-group type: No. 221
Crystal system: cubic
Offset from the most stable computed form in meV/atom: 1303.6

VASP calculation (PBE) on an optimized crystal structure of La2Ga5Rh.

Structure (extended XYZ):
```
16
Lattice="-3.4563 -2.2351 1.4709 6.0638 -0.9930 6.2452 -3.0878 7.5365 4.1964" Properties=species:S:1:pos:R:3 pbc="T T T"
Ga 0.6432 -1.6181 5.5470
Ga -3.2844 4.1651 5.1057
Ga 2.8041 0.1433 6.8068
Ga -0.2315 0.5168 6.7357
Ga -1.9401 1.8530 4.7512
Ga -0.2488 3.7916 5.1768
Ga -0.5491 -1.5421 2.8608
Ga 0.0688 5.8506 9.0517
Ga -1.1235 5.9266 6.3655
Ga 1.4598 2.4555 7.1613
La -1.4189 3.2570 8.1094
La 0.9386 1.0515 3.8032
La -1.5439 3.7683 2.0982
La 0.0000 0.0000 0.0000
Rh 1.5116 3.7892 9.3097
Rh -1.9919 0.5192 2.6028
```

## Properties
Formation enthalpy at 0 K in eV per atom: -0.6460
Space-group type: No. 63
Crystal system: orthorhombic
Offset from the most stable computed form in meV/atom: 0.0

VASP calculation (PBE) on an optimized crystal structure of BaCa3Rh.

Structure (extended XYZ):
```
10
Lattice="6.3858 0.0000 0.0000 0.0000 6.3858 0.0000 3.1929 3.1929 9.9857" Properties=species:S:1:pos:R:3 pbc="T T T"
Ca 3.1929 3.1929 4.1829
Ca 1.6126 6.3858 2.5761
Ca 6.3858 6.3858 5.8028
Ca 3.1929 7.9660 7.4096
Ca 3.1929 4.8055 7.4096
Ca 4.7731 6.3858 2.5761
Rh 0.0000 0.0000 0.0000
Rh 3.1929 6.3858 4.9928
Ba 6.3858 3.1929 9.1178
Ba 6.3858 3.1929 0.8678
```

## Properties
Formation enthalpy at 0 K in eV per atom: 0.0021
Space-group type: No. 119
Crystal system: tetragonal
Offset from the most stable computed form in meV/atom: 230.3